VASP calculation (PBE) on crystalline TbGa3Cu3 at its relaxed geometry.

Cell: 6.822 4.237 8.419 Å, 90.00 109.74 90.00°
Space group P2_1/m (No. 11)
Asymmetric unit:
Tb (0.110, 0.250, 0.357) x2
Ga (0.030, 0.250, 0.920) x2
Ga (0.320, 0.750, 0.608) x2
Ga (0.391, 0.750, 0.300) x2
Cu (0.268, 0.750, 0.960) x2
Cu (0.288, 0.250, 0.774) x2
Cu (0.413, 0.250, 0.116) x2

Computed properties:
E_tot	-28.0	eV/f.u.
spin magnetization	0.00	μB/f.u.
V	229.0	Å³/cell

=====

VASP calculation (PBE) on crystalline RhSeClF2 at its relaxed geometry.

Cell: 3.962 3.962 5.106 Å, 90.00 90.00 90.00°
Space group P4/mmm (No. 123)
Asymmetric unit:
Rh (0.000, 0.000, 0.000) x1
Se (0.500, 0.500, 0.000) x1
Cl (0.000, 0.000, 0.500) x1
F (0.000, 0.500, 0.500) x2

Computed properties:
E_tot	-15.7	eV/f.u.
formation energy (no corrections)	139.0	meV/atom
spin magnetization	0.68	μB/f.u.
V	80.2	Å³/cell

=====

VASP calculation (PBE) on crystalline NaCaIr2Au at its relaxed geometry.

Cell: 4.852 4.852 4.780 Å, 90.00 90.00 90.00°
Space group P4/mmm (No. 123)
Asymmetric unit:
Na (0.000, 0.000, 0.000) x1
Ca (0.000, 0.000, 0.500) x1
Ir (0.000, 0.500, 0.500) x2
Au (0.500, 0.500, 0.000) x1

Computed properties:
E_tot	-16.6	eV/f.u.
spin magnetization	0.51	μB/f.u.
V	112.5	Å³/cell

=====

VASP calculation (PBE) on crystalline Tb4Tc3C5 at its relaxed geometry.

Cell: 12.011 3.852 9.605 Å, 90.00 115.15 90.00°
Space group C2/m (No. 12)
Asymmetric unit:
Tb (0.111, 0.000, 0.416) x4
Tb (0.236, 0.500, 0.165) x4
Tc (0.000, 0.000, 0.000) x2
Tc (0.050, 0.500, 0.823) x4
C (0.000, 0.500, 0.000) x2
C (0.122, 0.500, 0.673) x4
C (0.204, 0.500, 0.610) x4

Computed properties:
E_tot	-97.0	eV/f.u.
spin magnetization	0.00	μB/f.u.
V	402.3	Å³/cell

=====

VASP calculation (PBE) on crystalline MgInRuO6 at its relaxed geometry.

Cell: 5.3006 5.3006 8.7851 Å, 90.00 90.00 120.00°
Space group P-31c (No. 163)
Asymmetric unit:
Mg (0.0000, 0.0000, 0.0000) x2
In (0.3333, 0.6667, 0.2500) x2
Ru (0.3333, 0.6667, 0.7500) x2
O (0.0377, 0.3640, 0.6269) x12

Computed properties:
E_tot	-54.3	eV/f.u.
formation energy (no corrections)	-1217.5	meV/atom
spin magnetization	0.00	μB/f.u.
V	213.8	Å³/cell

=====

VASP calculation (PBE) on crystalline Na4Ca2SiP4 at its relaxed geometry.

Cell: 9.180 15.817 6.993 Å, 90.00 92.23 90.00°
Space group Cc (No. 9)
Asymmetric unit:
Na (0.000, 0.072, 0.000) x4
Na (0.204, 0.146, 0.474) x4
Na (0.417, 0.266, 0.789) x4
Na (0.419, 0.076, 0.951) x4
Ca (0.214, 0.475, 0.794) x4
Ca (0.499, 0.238, 0.288) x4
Si (0.206, 0.334, 0.177) x4
P (0.006, 0.405, 0.054) x4
P (0.206, 0.338, 0.506) x4
P (0.213, 0.198, 0.074) x4
P (0.414, 0.403, 0.091) x4

Computed properties:
E_tot	-43.9	eV/f.u.
formation energy (no corrections)	-689.4	meV/atom
spin magnetization	0.00	μB/f.u.
V	1014.7	Å³/cell

=====

VASP calculation (PBE) on crystalline Na3Ti2PdS6 at its relaxed geometry.

Cell: 6.320 10.982 6.838 Å, 90.00 107.32 90.00°
Space group C2/m (No. 12)
Asymmetric unit:
Na (0.000, 0.000, 0.000) x2
Na (0.000, 0.342, 0.000) x4
Ti (0.000, 0.174, 0.500) x4
Pd (0.000, 0.500, 0.500) x2
S (0.222, 0.000, 0.699) x4
S (0.248, 0.326, 0.712) x8

Computed properties:
E_tot	-62.6	eV/f.u.
formation energy (no corrections)	-1077.0	meV/atom
spin magnetization	0.93	μB/f.u.
V	453.1	Å³/cell

=====

VASP calculation (PBE) on crystalline InPS2N at its relaxed geometry.

Cell: 4.765 4.765 3.390 Å, 90.00 90.00 90.00°
Space group P4/mmm (No. 123)
Asymmetric unit:
In (0.000, 0.000, 0.000) x1
P (0.500, 0.500, 0.500) x1
S (0.000, 0.500, 0.500) x2
N (0.500, 0.500, 0.000) x1

Computed properties:
E_tot	-23.0	eV/f.u.
formation energy (no corrections)	336.8	meV/atom
spin magnetization	0.00	μB/f.u.
V	77.0	Å³/cell

=====

VASP calculation (PBE) on crystalline Cd5InPb2 at its relaxed geometry.

Cell: 4.706 4.706 18.595 Å, 90.00 90.00 90.00°
Space group I4/mmm (No. 139)
Asymmetric unit:
Cd (0.000, 0.000, 0.000) x2
Cd (0.000, 0.500, 0.116) x8
In (0.000, 0.000, 0.500) x2
Pb (0.000, 0.000, 0.258) x4

Computed properties:
E_tot	-14.3	eV/f.u.
spin magnetization	0.00	μB/f.u.
V	411.8	Å³/cell

=====

VASP calculation (PBE) on crystalline LiMoPt2 at its relaxed geometry.

Cell: 3.817 3.817 8.042 Å, 90.00 90.00 90.00°
Space group I-4m2 (No. 119)
Asymmetric unit:
Li (0.000, 0.000, 0.000) x2
Mo (0.000, 0.500, 0.750) x2
Pt (0.000, 0.000, 0.500) x2
Pt (0.000, 0.500, 0.250) x2

Computed properties:
E_tot	-25.8	eV/f.u.
spin magnetization	0.00	μB/f.u.
V	117.2	Å³/cell

=====

VASP calculation (PBE) on crystalline TbLuCdCo at its relaxed geometry.

Cell: 7.054 7.054 7.054 Å, 90.00 90.00 90.00°
Space group F-43m (No. 216)
Asymmetric unit:
Tb (0.000, 0.000, 0.000) x4
Lu (0.000, 0.000, 0.500) x4
Cd (0.250, 0.250, 0.250) x4
Co (0.250, 0.250, 0.750) x4

Computed properties:
E_tot	-17.8	eV/f.u.
spin magnetization	0.53	μB/f.u.
V	350.9	Å³/cell

=====

VASP calculation (PBE) on crystalline MgAl2Te at its relaxed geometry.

Cell: 5.906 8.148 3.719 Å, 90.00 90.00 90.00°
Space group Cmmm (No. 65)
Asymmetric unit:
Mg (0.000, 0.000, 0.000) x2
Al (0.250, 0.250, 0.500) x4
Te (0.000, 0.500, 0.000) x2

Computed properties:
E_tot	-11.9	eV/f.u.
formation energy (no corrections)	82.7	meV/atom
spin magnetization	0.00	μB/f.u.
V	178.9	Å³/cell